No. 1
The following is a GGA-PBE calculation of crystalline LuNiHgPt at its relaxed geometry, from Alexandria.

Calculated values
* DFT total energy: -4.676 eV/atom
* energy of formation from the pure elements: -0.52 eV per atom
* SG: F-43m, No. 216

```
LuNiHgPt
1.0
0.000 3.298 3.298
3.298 0.000 3.298
3.298 3.298 0.000
Lu Ni Hg Pt
1 1 1 1
Cartesian
0.000 0.000 0.000
4.947 4.947 4.947
3.298 3.298 3.298
1.649 1.649 1.649
```

***

No. 2
The following is a GGA-PBE calculation of crystalline GeSe2N2 at its relaxed geometry, from Alexandria.

Calculated values
* E above lowest polymorph: 1226.6 meV/atom
* DFT total energy: -4.493 eV/atom
* SG: P4/mmm, No. 123

```
GeSe2N2
1.0
3.680 0.000 0.000
0.000 3.680 0.000
0.000 0.000 7.441
Ge Se N
1 2 2
Cartesian
0.000 0.000 0.000
0.000 0.000 3.720
1.840 1.840 3.720
0.000 1.840 0.000
1.840 0.000 0.000
```

***

No. 3
The following is a GGA-PBE calculation of crystalline AlZn at its relaxed geometry, from Alexandria.

Calculated values
* DFT total energy: -2.410 eV/atom
* energy of formation from the pure elements: 0.10 eV per atom
* SG: R-3m, No. 166

```
AlZn
1.0
2.139 1.235 4.374
-2.139 1.235 4.374
0.000 -2.470 4.374
Al Zn
2 2
Cartesian
0.000 0.000 1.414
0.000 0.000 11.707
0.000 0.000 4.050
0.000 0.000 9.071
```

***

No. 4
The following is a GGA-PBE calculation of crystalline Pr3NdEr2 at its relaxed geometry, from Alexandria.

Calculated values
* E above lowest polymorph: 0.0 meV/atom
* DFT total energy: -4.436 eV/atom
* energy of formation from the pure elements: 0.27 eV per atom
* SG: Cmcm, No. 63

```
Pr3NdEr2
1.0
7.527 -5.108 0.000
7.527 5.108 0.000
0.000 0.000 5.651
Pr Nd Er
6 2 4
Cartesian
7.527 4.153 4.239
3.583 1.331 1.413
3.583 -1.331 4.239
11.471 1.331 1.413
11.471 -1.331 4.239
7.527 -4.153 1.413
7.527 2.424 1.413
7.527 -2.424 4.239
5.929 0.961 4.239
5.929 -0.961 1.413
9.125 0.961 4.239
9.125 -0.961 1.413
```

***

No. 5
The following is a GGA-PBE calculation of crystalline Li2ScAl9 at its relaxed geometry, from Alexandria.

Calculated values
* DFT total energy: -3.860 eV/atom
* energy of formation from the pure elements: -0.21 eV per atom
* SG: P4/mmm, No. 123

```
Li2ScAl9
1.0
4.033 0.000 0.000
0.000 4.033 0.000
0.000 0.000 12.294
Li Sc Al
2 1 9
Cartesian
0.000 0.000 2.042
0.000 0.000 10.252
0.000 0.000 6.147
0.000 2.017 0.000
0.000 2.017 4.028
0.000 2.017 8.266
2.017 0.000 0.000
2.017 0.000 4.028
2.017 0.000 8.266
2.017 2.017 2.029
2.017 2.017 6.147
2.017 2.017 10.266
```

***

No. 6
The following is a GGA-PBE calculation of crystalline ZrBi2Mo at its relaxed geometry, from Alexandria.

Calculated values
* E above lowest polymorph: 360.2 meV/atom
* DFT total energy: -6.187 eV/atom
* energy of formation from the pure elements: 0.60 eV per atom
* SG: I-42d, No. 122

```
ZrBi2Mo
1.0
-2.201 2.201 10.348
2.201 -2.201 10.348
2.201 2.201 -10.348
Zr Bi Mo
2 4 2
Cartesian
0.000 0.000 0.000
0.000 2.201 5.174
1.101 -1.064 7.761
1.137 1.101 2.587
1.101 3.265 -2.587
1.064 1.101 12.935
2.201 0.000 5.174
0.000 0.000 10.348
```

***

No. 7
The following is a GGA-PBE calculation of crystalline KRe2Ru at its relaxed geometry, from Alexandria.

Calculated values
* E above lowest polymorph: 223.7 meV/atom
* DFT total energy: -7.889 eV/atom
* energy of formation from the pure elements: 0.93 eV per atom
* SG: P2/m, No. 10

```
KRe2Ru
1.0
2.682 0.000 0.000
0.000 3.847 0.000
-0.078 0.000 8.242
K Re Ru
1 2 1
Cartesian
0.000 0.000 0.000
1.304 1.923 2.851
1.300 1.923 5.391
-0.039 0.000 4.121
```

***

No. 8
The following is a GGA-PBE calculation of crystalline MnTlRh3 at its relaxed geometry, from Alexandria.

Calculated values
* E above lowest polymorph: 0.0 meV/atom
* DFT total energy: -5.969 eV/atom
* energy of formation from the pure elements: 0.75 eV per atom
* SG: Pm-3m, No. 221

```
MnTlRh3
1.0
4.504 0.000 0.000
0.000 4.504 0.000
0.000 0.000 4.504
Mn Tl Rh
1 1 3
Cartesian
0.000 0.000 0.000
2.252 2.252 2.252
0.000 0.000 2.252
0.000 2.252 0.000
2.252 0.000 0.000
```